Entry 1:
Ba3SrRh2O9 | PBE | optimized geometry

Values from the calculation:
Space-group type: P-3m1
Total moment (Bohr magnetons per cell): 4.09
Final energy (eV/atom): -6.2590

```
Ba3SrRh2O9
1.0
5.935 0.000 0.000
-2.967 5.140 0.000
0.000 0.000 7.509
Ba Sr Rh O
3 1 2 9
Cartesian
0.000 0.000 0.000
0.000 3.427 5.174
2.967 1.713 2.334
0.000 0.000 3.754
0.000 3.427 1.170
2.967 1.713 6.339
-1.484 2.570 0.000
0.000 1.852 2.279
-1.364 4.214 2.279
1.604 0.926 5.229
2.967 0.000 0.000
1.484 2.570 0.000
1.364 4.214 2.279
4.331 0.926 5.229
2.967 3.288 5.229
```

=====

Entry 2:
BaTaRhO6 | PBE | optimized geometry

Values from the calculation:
Space-group type: P312
Total moment (Bohr magnetons per cell): 2.03
Final energy (eV/atom): -7.6621

```
BaTaRhO6
1.0
5.345 0.000 0.000
-2.673 4.629 0.000
0.000 0.000 5.811
Ba Ta Rh O
1 1 1 6
Cartesian
0.000 0.000 0.000
0.000 3.086 2.905
2.673 1.543 2.905
2.052 0.008 4.016
1.033 1.773 1.795
3.293 0.008 1.795
1.654 2.848 4.016
4.312 1.773 4.016
3.692 2.848 1.795
```

=====

Entry 3:
Ba3TbRh2O9 | PBE | optimized geometry

Values from the calculation:
Space-group type: P-3m1
Total moment (Bohr magnetons per cell): 3.08
Final energy (eV/atom): -6.6817

```
Ba3TbRh2O9
1.0
5.889 0.000 0.000
-2.945 5.100 0.000
0.000 0.000 7.250
Ba Tb Rh O
3 1 2 9
Cartesian
0.000 0.000 0.000
0.000 3.400 4.911
2.945 1.700 2.339
0.000 0.000 3.625
0.000 3.400 1.159
2.945 1.700 6.091
-1.472 2.550 0.000
0.000 1.800 2.314
-1.386 4.200 2.314
1.559 0.900 4.936
2.945 0.000 0.000
1.472 2.550 0.000
1.386 4.200 2.314
4.330 0.900 4.936
2.945 3.300 4.936
```

=====

Entry 4:
Ba2TbRh3O12 | PBE | optimized geometry

Values from the calculation:
Space-group type: R-3m
Total moment (Bohr magnetons per cell): 2.12
Final energy (eV/atom): -6.3635

```
Ba2TbRh3O12
1.0
3.664 2.116 5.501
-3.664 2.116 5.501
0.000 -4.231 5.501
Ba Tb Rh O
2 1 3 12
Cartesian
0.000 0.000 1.849
0.000 0.000 14.654
0.000 0.000 8.252
-1.832 -1.058 5.501
-1.832 1.058 11.002
0.000 2.116 5.501
-1.899 -1.096 7.425
0.000 -1.756 5.622
-1.521 0.878 5.622
0.000 -2.193 9.078
-1.899 1.096 9.078
-1.521 -0.878 10.881
1.521 0.878 5.622
1.899 -1.096 7.425
0.000 2.193 7.425
1.521 -0.878 10.881
0.000 1.756 10.881
1.899 1.096 9.078
```

=====

Entry 5:
BaTb2RhO5 | PBE | optimized geometry

Values from the calculation:
Space-group type: Immm
Total moment (Bohr magnetons per cell): 1.34
Final energy (eV/atom): -7.3213

```
BaTb2RhO5
1.0
-1.959 2.908 5.881
1.959 -2.908 5.881
1.959 2.908 -5.881
Ba Tb Rh O
1 2 1 5
Cartesian
0.000 0.000 0.000
1.959 0.000 3.488
0.000 2.908 2.393
0.000 0.000 5.881
1.959 1.508 -1.827
1.959 1.508 1.827
0.000 2.908 0.000
0.000 1.400 4.054
0.000 1.400 7.708
```

=====

Entry 6:
BaTcRhO6 | PBE | optimized geometry

Values from the calculation:
Space-group type: P312
Total moment (Bohr magnetons per cell): 0.00
Final energy (eV/atom): -7.0437

```
BaTcRhO6
1.0
5.367 0.000 0.000
-2.683 4.648 0.000
0.000 0.000 5.601
Ba Tc Rh O
1 1 1 6
Cartesian
0.000 0.000 0.000
0.000 3.098 2.801
2.683 1.549 2.801
-0.991 1.832 3.857
-1.592 2.874 1.745
0.991 1.832 1.745
-0.602 4.590 3.857
1.592 2.874 3.857
0.602 4.590 1.745
```

=====

Entry 7:
BaTc2RhO8 | PBE | optimized geometry

Values from the calculation:
Space-group type: P-3
Total moment (Bohr magnetons per cell): 0.94
Final energy (eV/atom): -7.2676

```
BaTc2RhO8
1.0
5.468 0.000 0.000
-2.734 4.735 0.000
0.000 0.000 7.505
Ba Tc Rh O
1 2 1 8
Cartesian
0.000 0.000 0.000
0.000 3.157 5.549
2.734 1.578 1.957
0.000 0.000 3.753
-0.583 1.519 5.053
-1.127 4.480 5.053
1.024 1.264 2.453
0.000 3.157 7.327
2.734 1.578 0.178
1.710 3.471 5.053
3.861 0.255 2.453
3.317 3.216 2.453
```

=====

Entry 8:
BaTe2RhO8 | PBE | optimized geometry

Values from the calculation:
Space-group type: R-3
Total moment (Bohr magnetons per cell): 0.00
Final energy (eV/atom): -5.7531

```
BaTe2RhO8
1.0
2.732 1.577 6.975
-2.732 1.577 6.975
0.000 -3.154 6.975
Ba Te Rh O
1 2 1 8
Cartesian
0.000 0.000 0.000
0.000 0.000 4.491
0.000 0.000 16.435
0.000 0.000 10.463
-0.683 -1.553 9.425
-1.686 -0.185 11.501
0.000 0.000 6.343
-1.003 1.368 9.425
1.003 -1.368 11.501
0.000 0.000 14.583
1.686 0.185 9.425
0.683 1.553 11.501
```

=====

Entry 9:
Ba2ThRh3O12 | PBE | optimized geometry

Values from the calculation:
Space-group type: R-3m
Total moment (Bohr magnetons per cell): 5.98
Final energy (eV/atom): -6.6923

```
Ba2ThRh3O12
1.0
3.676 2.122 5.394
-3.676 2.122 5.394
0.000 -4.245 5.394
Ba Th Rh O
2 1 3 12
Cartesian
0.000 0.000 1.734
0.000 0.000 14.446
0.000 0.000 8.090
-1.838 -1.061 5.394
-1.838 1.061 10.787
0.000 2.122 5.394
-2.088 -1.206 7.279
0.000 -1.639 5.925
-1.419 0.819 5.925
0.000 -2.412 8.901
-2.088 1.206 8.901
-1.419 -0.819 10.256
1.419 0.819 5.925
2.088 -1.206 7.279
0.000 2.412 7.279
1.419 -0.819 10.256
0.000 1.639 10.256
2.088 1.206 8.901
```

=====

Entry 10:
BaTi2RhO8 | PBE | optimized geometry

Values from the calculation:
Space-group type: P-1
Total moment (Bohr magnetons per cell): 0.19
Final energy (eV/atom): -7.4614

```
BaTi2RhO8
1.0
4.674 0.000 0.000
1.573 5.284 0.000
0.033 0.030 7.196
Ba Ti Rh O
1 2 1 8
Cartesian
0.000 0.000 0.000
3.128 2.645 1.450
3.153 2.669 5.746
0.017 0.015 3.598
2.064 3.876 4.987
2.059 3.866 2.215
1.916 0.552 3.593
2.274 1.717 0.005
4.007 3.597 7.191
4.365 4.762 3.602
4.222 1.448 4.980
4.217 1.438 2.208
```

=====

Entry 11:
Ba2TiRh3O12 | PBE | optimized geometry

Values from the calculation:
Space-group type: R-3m
Total moment (Bohr magnetons per cell): 0.00
Final energy (eV/atom): -6.5883

```
Ba2TiRh3O12
1.0
3.557 2.054 5.839
-3.557 2.054 5.839
0.000 -4.107 5.839
Ba Ti Rh O
2 1 3 12
Cartesian
0.000 0.000 2.201
0.000 0.000 15.316
0.000 0.000 8.758
-1.778 -1.027 5.839
-1.778 1.027 11.678
0.000 2.054 5.839
-1.458 -0.842 7.768
0.000 -1.697 5.440
-1.470 0.849 5.440
-1.470 -0.849 12.077
0.000 -1.684 9.749
-1.458 0.842 9.749
1.458 -0.842 7.768
0.000 1.684 7.768
1.470 0.849 5.440
1.470 -0.849 12.077
0.000 1.697 12.077
1.458 0.842 9.749
```

=====

Entry 12:
BaTiRh2O | PBE | optimized geometry

Values from the calculation:
Space-group type: P4/mmm
Total moment (Bohr magnetons per cell): 0.06
Final energy (eV/atom): -4.6664

```
BaTiRh2O
1.0
5.174 0.000 0.000
0.000 5.174 0.000
0.000 0.000 4.347
Ba Ti Rh O
1 1 2 1
Cartesian
0.000 0.000 0.000
2.587 2.587 2.173
0.000 2.587 0.000
2.587 0.000 0.000
0.000 0.000 2.173
```

=====

Entry 13:
Ba3Tl2RhO8 | PBE | optimized geometry

Values from the calculation:
Space-group type: P-3m1
Total moment (Bohr magnetons per cell): 1.05
Final energy (eV/atom): -5.5062

```
Ba3Tl2RhO8
1.0
5.963 0.000 0.000
-2.982 5.165 0.000
0.000 0.000 7.922
Ba Tl Rh O
3 2 1 8
Cartesian
0.000 0.000 0.000
0.000 3.443 4.943
2.982 1.721 2.979
0.000 3.443 1.527
2.982 1.721 6.395
0.000 0.000 3.961
0.000 1.598 2.692
-1.597 4.365 2.692
1.384 0.799 5.230
0.000 3.443 7.424
2.982 1.721 0.498
1.597 4.365 2.692
4.579 0.799 5.230
2.982 3.566 5.230
```

=====

Entry 14:
BaTlRhO6 | PBE | optimized geometry

Values from the calculation:
Space-group type: P312
Total moment (Bohr magnetons per cell): 3.98
Final energy (eV/atom): -5.4955

```
BaTlRhO6
1.0
5.661 0.000 0.000
-2.830 4.902 0.000
0.000 0.000 5.618
Ba Tl Rh O
1 1 1 6
Cartesian
0.000 0.000 0.000
0.000 3.268 2.809
2.830 1.634 2.809
2.156 0.201 3.952
1.252 1.767 1.666
3.505 0.201 1.666
1.926 2.935 3.952
4.409 1.767 3.952
3.735 2.935 1.666
```

=====

Entry 15:
Ba2TlRhO5 | PBE | optimized geometry

Values from the calculation:
Space-group type: Cmc2_1
Total moment (Bohr magnetons per cell): 0.00
Final energy (eV/atom): -5.7624

```
Ba2TlRhO5
1.0
1.760 -7.391 0.000
1.760 7.391 0.000
0.000 0.000 11.651
Ba Tl Rh O
4 2 2 10
Cartesian
1.760 5.929 5.825
1.760 5.243 1.653
1.760 -5.243 7.478
1.760 -5.929 0.000
1.760 0.695 3.406
1.760 -0.695 9.232
1.760 4.086 10.173
1.760 -4.086 4.348
1.760 6.122 10.515
1.760 3.397 5.637
1.760 3.009 3.127
1.760 1.974 9.706
1.760 0.042 7.226
1.760 -0.042 1.401
1.760 -1.974 3.881
1.760 -3.009 8.952
1.760 -3.397 11.462
1.760 -6.122 4.689
```

=====

Entry 16:
Ba2Tl2RhO6 | PBE | optimized geometry

Values from the calculation:
Space-group type: R-3m
Total moment (Bohr magnetons per cell): 0.83
Final energy (eV/atom): -5.3162

```
Ba2Tl2RhO6
1.0
3.273 1.889 5.622
-3.273 1.889 5.622
0.000 -3.779 5.622
Ba Tl Rh O
2 2 1 6
Cartesian
0.000 0.000 3.426
0.000 0.000 13.439
0.000 0.000 6.969
0.000 0.000 9.896
0.000 0.000 0.000
-1.924 -1.111 9.932
0.000 -2.222 6.933
-1.924 1.111 6.933
1.924 -1.111 9.932
0.000 2.222 9.932
1.924 1.111 6.933
```

=====

Entry 17:
Ba2TlRhO4 | PBE | optimized geometry

Values from the calculation:
Space-group type: I-4
Total moment (Bohr magnetons per cell): 1.98
Final energy (eV/atom): -5.6635

```
Ba2TlRhO4
1.0
-3.236 3.236 3.601
3.236 -3.236 3.601
3.236 3.236 -3.601
Ba Tl Rh O
2 1 1 4
Cartesian
0.000 0.000 0.000
0.000 3.236 1.800
3.236 0.000 1.800
0.000 0.000 3.601
4.636 1.828 -0.003
1.828 1.837 0.003
-1.399 1.408 3.598
1.408 1.399 3.604
```

=====

Entry 18:
BaTmRhO6 | PBE | optimized geometry

Values from the calculation:
Space-group type: P312
Total moment (Bohr magnetons per cell): 1.95
Final energy (eV/atom): -6.5522

```
BaTmRhO6
1.0
5.550 0.000 0.000
-2.775 4.806 0.000
0.000 0.000 5.686
Ba Tm Rh O
1 1 1 6
Cartesian
0.000 0.000 0.000
0.000 3.204 2.843
2.775 1.602 2.843
2.082 0.173 3.959
1.191 1.716 1.727
3.468 0.173 1.727
1.884 2.917 3.959
4.359 1.716 3.959
3.666 2.917 1.727
```

=====

Entry 19:
Ba2TmRh3O12 | PBE | optimized geometry

Values from the calculation:
Space-group type: R-3m
Total moment (Bohr magnetons per cell): 1.67
Final energy (eV/atom): -6.3595

```
Ba2TmRh3O12
1.0
3.647 2.105 5.581
-3.647 2.105 5.581
0.000 -4.211 5.581
Ba Tm Rh O
2 1 3 12
Cartesian
0.000 0.000 1.910
0.000 0.000 14.833
0.000 0.000 8.372
-1.823 -1.053 5.581
-1.823 1.053 11.162
0.000 2.105 5.581
-1.817 -1.049 7.514
0.000 -1.762 5.604
-1.526 0.881 5.604
0.000 -2.098 9.229
-1.817 1.049 9.229
-1.526 -0.881 11.140
1.526 0.881 5.604
1.817 -1.049 7.514
0.000 2.098 7.514
1.526 -0.881 11.140
0.000 1.762 11.140
1.817 1.049 9.229
```

=====

Entry 20:
Ba3TmRh2O6 | PBE | optimized geometry

Values from the calculation:
Space-group type: P-3m1
Total moment (Bohr magnetons per cell): 2.93
Final energy (eV/atom): -6.3984

```
Ba3TmRh2O6
1.0
6.081 0.000 0.000
-3.040 5.266 0.000
0.000 0.000 6.921
Ba Tm Rh O
3 1 2 6
Cartesian
0.000 0.000 0.000
0.000 3.511 4.510
3.040 1.755 2.411
0.000 0.000 3.460
0.000 3.511 1.159
3.040 1.755 5.762
0.000 1.754 2.145
-1.521 4.389 2.145
1.519 0.877 4.776
1.521 4.389 2.145
4.562 0.877 4.776
3.040 3.512 4.776
```